(1)
Below is an optimized crystal structure of TaCrAg2, with properties calculated at the PBE level.

```
TaCrAg2
1.0
-2.4639 -0.1081 1.4690
-1.5606 -2.8764 -2.8291
1.9934 -4.0748 3.0434
Cr Ag Ta
1 2 1
direct
0.5000 0.5000 0.2500
0.0000 0.0000 0.4975
0.0000 0.0000 0.0025
0.5000 0.5000 0.7500
```

Values from the calculation:
Energy relative to the elements: 2.031 eV per formula unit
Density: 11.0 g/cm³

(2)
Below is an optimized crystal structure of YbSi, with properties calculated at the PBE level.

```
YbSi
1.0
-3.2702 1.7109 -2.6219
-4.3688 -1.7452 4.3102
2.2614 4.8827 4.2691
Si Yb
4 4
direct
0.0909 0.5615 0.1820
0.9091 0.0615 0.8180
0.9091 0.4385 0.8180
0.0909 0.9385 0.1820
0.5478 0.2500 0.0960
0.7243 0.7500 0.4493
0.4522 0.7500 0.9040
0.2757 0.2500 0.5507
```

Values from the calculation:
Density: 7.1 g/cm³
Formation energy from raw total energies: -545 meV per atom

(3)
Below is an optimized crystal structure of Pm4PuSe5, with properties calculated at the PBE level.

```
Pm4PuSe5
1.0
-3.7593 -0.1041 -1.8595
-1.1165 -3.3340 -2.2889
-8.2736 -8.4269 12.4655
Pu Pm Se
1 4 5
direct
0.5000 0.5000 0.5000
0.3002 0.3002 0.0994
0.8991 0.8991 0.3026
0.1009 0.1009 0.6974
0.6998 0.6998 0.9006
0.1989 0.1989 0.4032
0.8011 0.8011 0.5968
0.4004 0.4004 0.7988
0.5996 0.5996 0.2012
0.0000 0.0000 0.0000
```

Values from the calculation:
Density: 7.8 g/cm³
Formation energy from raw total energies: -1786 meV per atom

(4)
Below is an optimized crystal structure of K2ZrAl, with properties calculated at the PBE level.

```
K2ZrAl
1.0
5.5255 0.0044 0.0182
-2.7023 6.6998 0.0733
0.1209 0.7850 3.2308
Al K Zr
1 2 1
direct
0.5000 0.5000 0.0000
0.0000 0.0000 0.0000
0.5000 0.0000 0.5000
0.0000 0.5000 0.5000
```

Values from the calculation:
Energy relative to the elements: 2.726 eV per formula unit
Density: 2.7 g/cm³

(5)
Below is an optimized crystal structure of InTe2Pt2, with properties calculated at the PBE level.

```
InTe2Pt2
1.0
3.9799 0.0000 0.0000
0.0000 3.9799 0.0000
1.9899 1.9899 7.7570
In Te Pt
1 2 2
direct
0.0000 0.0000 0.0000
0.6283 0.6283 0.7435
0.3717 0.3717 0.2565
0.7500 0.2500 0.5000
0.2500 0.7500 0.5000
```

Values from the calculation:
Density: 10.3 g/cm³
Formation energy from raw total energies: -94 meV per atom

(6)
Below is an optimized crystal structure of ReMo3W2, with properties calculated at the PBE level.

```
ReMo3W2
1.0
-0.8924 4.3075 0.4392
-6.3322 -1.5861 2.6892
4.6929 0.4363 5.2565
W Mo Re
4 6 2
direct
0.9930 0.5148 0.2776
0.4930 0.4852 0.7224
0.4930 0.7224 0.4852
0.9930 0.2776 0.5148
0.9930 0.0811 0.0811
0.9930 0.3638 0.9107
0.4930 0.0893 0.6362
0.9930 0.9107 0.3638
0.4930 0.6362 0.0893
0.4930 0.9189 0.9189
0.9930 0.7115 0.7115
0.4930 0.2885 0.2885
```

Values from the calculation:
Energy relative to the elements: 4.222 eV per formula unit
Density: 13.4 g/cm³

(7)
Below is an optimized crystal structure of K3HfCd, with properties calculated at the PBE level.

```
K3HfCd
1.0
-1.3288 -6.1706 1.4460
2.4479 -1.8625 -5.6984
5.8459 -0.6227 2.7148
Cd K Hf
1 3 1
direct
0.0000 0.0000 0.0000
0.0000 0.0000 0.5000
0.5000 0.0000 0.0000
0.0000 0.5000 0.0000
0.5000 0.5000 0.5000
```

Values from the calculation:
Energy relative to the elements: 5.583 eV per formula unit
Density: 2.5 g/cm³

(8)
Below is an optimized crystal structure of Dy2Zn2GeRh5, with properties calculated at the PBE level.

```
Dy2Zn2GeRh5
1.0
-2.8982 -0.4482 -1.9295
5.1182 -5.1041 -6.5021
-1.9752 -8.1812 4.8675
Dy Ge Rh Zn
4 2 10 4
direct
0.0000 0.1721 0.3279
0.0000 0.3279 0.8279
0.0000 0.8279 0.6721
0.0000 0.6721 0.1721
0.0000 0.5000 0.5000
0.0000 0.0000 0.0000
0.5000 0.6974 0.4373
0.5000 0.1974 0.0627
0.5000 0.9373 0.1974
0.5000 0.0000 0.5000
0.5000 0.5627 0.6974
0.5000 0.0627 0.8026
0.5000 0.8026 0.9373
0.5000 0.3026 0.5627
0.5000 0.5000 0.0000
0.5000 0.4373 0.3026
0.0000 0.1277 0.6277
0.0000 0.8723 0.3723
0.0000 0.3723 0.1277
0.0000 0.6277 0.8723
```

Values from the calculation:
Energy relative to the elements: -6.328 eV per formula unit
Density: 10.4 g/cm³